No. 1
Computed, not measured: a relaxed structure of AgSnSeO at the PBE level of DFT.

```
AgSnSeO
1.0
5.7303 0.0000 0.0000
0.0000 3.7341 0.0000
0.0000 0.0000 14.8359
Ag Sn Se O
4 4 4 4
Cartesian
4.6971 2.8006 10.5229
3.8984 0.9335 3.1049
1.8319 2.8006 11.7309
1.0333 0.9335 4.3130
4.3304 0.9335 13.7505
4.2651 2.8006 6.3326
1.4652 0.9335 8.5033
1.4000 2.8006 1.0853
4.3002 0.9335 8.6554
4.2953 2.8006 1.2375
1.4350 0.9335 13.5984
1.4301 2.8006 6.1805
1.3782 2.8006 9.5815
4.3522 0.9335 5.2544
4.2433 2.8006 12.6723
1.4870 0.9335 2.1635
```

Calculated values
Volume (Å³/f.u.): 79.36
Space group: Pnma

=====

No. 2
Computed, not measured: a relaxed structure of AgSnSeO at the PBE level of DFT.

```
AgSnSeO
1.0
3.4379 -1.9849 0.0000
3.4379 1.9849 0.0000
0.0000 0.0000 12.2651
O Se Sn Ag
2 2 2 2
Cartesian
0.0000 0.0000 10.1071
0.0000 0.0000 3.9746
4.5839 0.0000 7.5941
2.2919 0.0000 1.4616
0.0000 0.0000 12.1096
0.0000 0.0000 5.9770
2.2920 0.0000 9.2865
4.5839 0.0000 3.1539
```

Calculated values
Volume (Å³/f.u.): 83.69
Space group: P6_3mc

=====

No. 3
Computed, not measured: a relaxed structure of AgSnSeO at the PBE level of DFT.

```
AgSnSeO
1.0
4.3278 0.0000 0.0000
0.0000 4.3278 0.0000
0.0000 0.0000 8.8135
Sn Ag O Se
2 2 2 2
Cartesian
3.2459 1.0820 0.0000
1.0820 3.2459 0.0000
1.0820 1.0820 6.5951
3.2459 3.2459 2.2184
1.0820 1.0820 4.3825
3.2459 3.2459 4.4310
3.2459 3.2459 6.1228
1.0820 1.0820 2.6907
```

Calculated values
Volume (Å³/f.u.): 82.54
Space group: P4/nmm

=====

No. 4
Computed, not measured: a relaxed structure of AgSnSeO at the PBE level of DFT.

```
AgSnSeO
1.0
-4.3542 -3.0781 4.3769
-3.9499 -3.1541 -6.1476
3.7252 -5.0146 0.1793
Ag Se Sn O
4 4 4 4
Cartesian
-3.2820 -6.0898 -3.3235
-4.4780 -7.5867 -0.1294
-3.7950 -3.1571 0.6534
2.3971 -5.6600 -0.3834
-1.7628 -7.5189 -0.9784
0.3952 -5.1582 1.5757
-3.1157 -4.1206 -5.3710
-4.6746 -5.6959 1.5907
-3.1588 -2.6284 -2.8577
-2.1388 -5.1976 2.9570
-0.9338 -4.8034 -1.0036
-2.9266 -9.8641 -2.2787
-2.2307 -3.2016 2.2875
-4.8322 -9.1712 -1.7054
0.7453 -5.6773 -1.9297
-2.8403 -4.4434 -1.8355
```

Calculated values
Volume (Å³/f.u.): 85.78
Space group: P2_12_12_1

=====

No. 5
Computed, not measured: a relaxed structure of AgSnSeO at the PBE level of DFT.

```
AgSnSeO
1.0
5.7023 0.0000 0.0000
0.0000 8.7881 0.0000
0.0000 0.0000 8.8396
O Se Sn Ag
4 4 4 4
Cartesian
2.9122 2.0506 0.6807
5.6412 6.7375 5.1005
2.7901 6.4447 3.7391
0.0611 2.3434 8.1589
0.0960 3.5183 2.8354
5.6063 7.9123 1.5844
2.9471 0.8758 6.0042
2.7551 5.2698 7.2552
3.8087 2.6925 7.8405
4.7447 6.0957 3.4207
0.9576 1.7016 0.9991
1.8935 7.0865 5.4189
1.3858 6.4003 0.2127
4.3165 2.0063 4.2071
4.2369 6.7818 8.6269
1.4653 2.3878 4.6325
```

Calculated values
Volume (Å³/f.u.): 110.74
Space group: P2_12_12_1

=====

No. 6
Computed, not measured: a relaxed structure of AgSnSeO at the PBE level of DFT.

```
AgSnSeO
1.0
4.0137 0.0000 0.0000
0.0000 4.0137 0.0000
0.0000 0.0000 9.9922
Ag Se Sn O
2 2 2 2
Cartesian
1.0034 1.0034 3.0512
3.0103 3.0103 6.9409
3.0103 1.0034 4.9961
1.0034 3.0103 4.9961
1.0034 1.0034 8.7480
3.0103 3.0103 1.2441
1.0034 1.0034 0.8051
3.0103 3.0103 9.1871
```

Calculated values
Volume (Å³/f.u.): 80.49
Space group: P4/nmm

=====

No. 7
Computed, not measured: a relaxed structure of AgSnSeO at the PBE level of DFT.

```
AgSnSeO
1.0
-3.2183 -1.8023 0.6055
1.8278 -3.2606 0.0090
1.6237 0.9417 11.4327
Se Sn Ag O
2 2 2 2
Cartesian
0.3085 -3.0135 9.9759
-0.0753 -1.1078 2.0713
-0.4121 -3.4314 4.9025
0.6453 -0.6899 7.1447
0.5662 -2.8961 0.1581
-1.9568 -2.1669 0.4564
0.3549 -0.8583 5.1002
-0.1217 -3.2630 6.9469
```

Calculated values
Volume (Å³/f.u.): 80.94
Space group: P4/nmm

=====

No. 8
Computed, not measured: a relaxed structure of AgSnSeO at the PBE level of DFT.

```
AgSnSeO
1.0
5.8946 0.0000 0.0000
0.0000 9.3460 0.0000
0.0000 0.0000 5.8634
Se O Sn Ag
4 4 4 4
Cartesian
2.8745 3.1589 0.7088
5.8218 6.1871 0.7088
0.0728 3.1589 3.6405
3.0201 6.1871 3.6405
3.1141 1.0257 3.6751
2.7805 8.3203 0.7434
0.1668 8.3203 3.6751
5.7278 1.0257 0.7434
5.7123 3.0709 0.6965
0.1822 6.2751 3.6282
3.1295 3.0709 3.6282
2.7650 6.2751 0.6965
1.4342 0.5349 2.2489
4.4604 8.8111 5.1806
4.3815 8.8111 2.2489
1.5131 0.5349 5.1806
```

Calculated values
Volume (Å³/f.u.): 80.76
Space group: Pca2_1

=====

No. 9
Computed, not measured: a relaxed structure of AgSnSeO at the PBE level of DFT.

```
AgSnSeO
1.0
6.6404 0.0000 0.0000
0.0000 7.7043 0.0000
0.0000 0.0000 6.7316
Ag Se O Sn
4 4 4 4
Cartesian
0.8755 5.1738 3.3543
4.1957 2.5305 3.3543
2.4447 5.1738 6.7200
5.7649 2.5305 6.7200
6.6139 2.8033 4.2545
3.2937 4.9011 4.2545
3.3467 2.8033 0.8887
0.0265 4.9011 0.8887
3.8767 7.1245 0.9621
6.0839 7.1245 4.3278
0.5565 0.5798 0.9621
2.7637 0.5798 4.3278
4.1885 7.1073 3.2094
0.8683 0.5970 3.2094
2.4519 0.5970 6.5752
5.7721 7.1073 6.5752
```

Calculated values
Volume (Å³/f.u.): 86.10
Space group: Pca2_1

=====

No. 10
Computed, not measured: a relaxed structure of AgSnSeO at the PBE level of DFT.

```
AgSnSeO
1.0
3.7422 0.0000 0.0000
-1.8711 3.2409 0.0000
0.0000 0.0000 13.1050
Sn Se O Ag
2 2 2 2
Cartesian
0.0000 2.1606 3.3729
1.8711 1.0803 9.9254
1.8711 1.0803 1.5329
0.0000 2.1606 8.0854
0.0000 0.0000 10.7588
0.0000 0.0000 4.2063
0.0000 0.0000 13.0050
0.0000 0.0000 6.4525
```

Calculated values
Volume (Å³/f.u.): 79.47
Space group: P6_3mc

=====

No. 11
Computed, not measured: a relaxed structure of SrAgSeO at the PBE level of DFT.

```
SrAgSeO
1.0
7.1372 0.0000 0.0000
0.0000 7.6851 0.0000
0.0000 0.0000 6.3188
Se Sr Ag O
4 4 4 4
Cartesian
1.8687 4.0462 1.5982
5.4372 3.6389 1.5982
1.6999 4.0462 4.7577
5.2685 3.6389 4.7577
3.0705 1.1312 5.9952
6.6391 6.5538 5.9952
0.4981 1.1312 2.8358
4.0667 6.5538 2.8358
0.0763 5.2609 2.9497
3.4923 5.2609 6.1091
7.0609 2.4241 6.1091
3.6449 2.4241 2.9497
4.4498 7.0711 0.5148
2.6874 0.6139 3.6743
6.2560 7.0711 3.6743
0.8812 0.6139 0.5148
```

Calculated values
Volume (Å³/f.u.): 86.65
Space group: Pca2_1

=====

No. 12
Computed, not measured: a relaxed structure of SrAgSeO at the PBE level of DFT.

```
SrAgSeO
1.0
7.1209 0.0000 0.0000
0.0000 13.4395 0.0000
0.0000 0.0000 7.1385
Sr Ag O Se
8 8 8 8
Cartesian
0.0511 3.3496 1.7866
7.0698 10.0899 5.3519
3.6116 3.3496 1.7827
0.0511 3.3701 5.3558
3.5093 10.0899 5.3558
3.5093 10.0694 1.7866
3.6116 3.3701 5.3519
7.0698 10.0694 1.7827
5.3206 7.5893 0.0113
5.3608 5.8503 3.5805
1.7601 12.5701 7.1272
1.7601 7.5893 3.5580
1.8003 5.8503 7.1272
1.8003 0.8695 3.5580
5.3206 12.5701 3.5805
5.3608 0.8695 0.0113
1.8323 3.5478 7.1359
5.3928 3.1720 0.0026
1.7281 9.8918 3.5666
1.8323 3.1720 3.5666
5.2886 10.2675 3.5718
1.7281 10.2675 7.1359
5.3928 3.5478 3.5718
5.2886 9.8918 0.0026
0.0000 13.4167 1.8005
3.5605 0.0229 5.3698
3.5605 6.6969 1.8005
3.5604 13.4167 1.7687
0.0000 6.6969 1.7687
0.0000 6.7426 5.3698
0.0000 0.0229 5.3379
3.5604 6.7426 5.3379
```

Calculated values
Volume (Å³/f.u.): 85.40
Space group: Pbca

=====

| no. | uncorrected energy (eV/cell) |
| --- | --- |
| 1 | -68.4 |
| 2 | -32.8 |
| 3 | -30.5 |
| 4 | -68.1 |
| 5 | -69.7 |
| 6 | -32.6 |
| 7 | -33.3 |
| 8 | -66.7 |
| 9 | -68.9 |
| 10 | -34.1 |
| 11 | -71.9 |
| 12 | -144.9 |